<P>
The following is a PBE-GGA calculation of a geometry-optimized YMg6CO8 structure, from the Alexandria database.

For the density of states at the Fermi level, the calculation gives 0.4 states/eV/f.u.

a b c (Å): 4.286 4.286 9.539
angles (deg): 90.00 90.00 90.00
Space group P4/mmm (No. 123)
Unique sites:
Y 0.000 0.000 0.000 x1
Mg 0.000 0.500 0.279 x4
Mg 0.500 0.500 0.000 x1
Mg 0.500 0.500 0.500 x1
C 0.000 0.000 0.500 x1
O 0.000 0.000 0.234 x2
O 0.000 0.500 0.000 x2
O 0.000 0.500 0.500 x2
O 0.500 0.500 0.264 x2

<Q>
The following is a PBE-GGA calculation of a geometry-optimized YMg6CO8 structure, from the Alexandria database.

For the density of states at the Fermi level, the calculation gives 0.3 states/eV/f.u.

a b c (Å): 4.295 4.295 9.346
angles (deg): 90.00 90.00 90.00
Space group P4/mmm (No. 123)
Unique sites:
Y 0.000 0.000 0.000 x1
Mg 0.000 0.000 0.500 x1
Mg 0.000 0.500 0.270 x4
Mg 0.500 0.500 0.500 x1
C 0.500 0.500 0.000 x1
O 0.000 0.000 0.257 x2
O 0.000 0.500 0.000 x2
O 0.000 0.500 0.500 x2
O 0.500 0.500 0.284 x2

Stability ranking, top entry: <Q>; the second entry is 47 meV per atom less favorable.